[1]
Entry from the Alexandria database: a PBEsol-optimized structure of ZrTaFe2 (SCAN).

Formation energy in eV per atom: -0.16

Cell: 3.0541 3.0541 6.2166 Å, 90.00 90.00 90.00°
Last column: nearest neighbours and their distance in Å.
Element x y z (fractional)
Zr (0.0000, 0.0000, 0.0000)  8 Fe 2.72
Ta (0.0000, 0.0000, 0.5000)  8 Fe 2.60
Fe (0.5000, 0.5000, 0.2673)  4 Ta 2.60, 4 Zr 2.72, 1 Fe 2.89
Fe (0.5000, 0.5000, 0.7327)  4 Ta 2.60, 4 Zr 2.72, 1 Fe 2.89

***

[2]
Entry from the Alexandria database: a PBEsol-optimized structure of NaSiTeF2 (SCAN).

Energy relative to the elements, uncorrected in kcal/mol of atoms: -18.27

Cell: 4.0503 4.0503 5.3985 Å, 90.00 90.00 90.00°
Last column: nearest neighbours and their distance in Å.
Element x y z (fractional)
Na (0.0000, 0.0000, 0.0000)  4 F 2.03
Si (0.0000, 0.0000, 0.5000)  2 Na 2.70, 4 Te 2.86
Te (0.5000, 0.5000, 0.5000)  4 Si 2.86
F (0.0000, 0.5000, 0.0000)  2 Na 2.03
F (0.5000, 0.0000, 0.0000)  2 Na 2.03

***

[3]
Entry from the Alexandria database: a PBEsol-optimized structure of La3In (SCAN).

Formation energy in eV per atom: -0.28

Cell: 3.5693 5.7024 6.1033 Å, 90.00 96.79 90.00°
Last column: nearest neighbours and their distance in Å.
Element x y z (fractional)
La (0.0000, 0.0000, 0.0000)  4 In 3.35-3.71, 6 La 3.51-3.57
La (0.2849, 0.5000, 0.7280)  7 La 3.25-3.57, 2 In 3.30
La (0.7151, 0.5000, 0.2720)  7 La 3.25-3.57, 2 In 3.30
In (0.5000, 0.0000, 0.5000)  6 La 3.30-3.35, 2 In 3.57